Model 1:
Entry from the Alexandria database: a relaxed Cs2AuCl crystal (GGA-PBE).

Geometry as POSCAR:
```
Cs2AuCl
1.0
5.063 0.000 0.000
0.000 4.954 -0.880
0.000 -0.067 14.006
Cs Au Cl
4 2 2
Cartesian
3.797 3.362 4.544
1.266 1.524 8.581
3.797 4.577 11.385
1.266 0.309 1.741
1.266 2.248 12.658
3.797 2.638 0.468
1.266 0.914 5.146
3.797 3.972 7.980
```

## Properties
Mass density   4.715 Mg/m³
Space group   Cmcm, No. 63

Model 2:
Entry from the Alexandria database: a relaxed Cs2AuCl crystal (GGA-PBE).

Geometry as POSCAR:
```
Cs2AuCl
1.0
-2.749 -10.347 -0.993
2.499 1.962 -10.272
6.741 0.317 8.370
Cs Au Cl
2 1 1
Cartesian
0.967 -2.429 1.786
3.026 -7.601 5.590
1.996 -5.015 3.688
0.000 0.000 0.000
```

## Properties
Mass density   0.928 Mg/m³
Space group   Immm, No. 71

Model 3:
Entry from the Alexandria database: a relaxed Cs2AuCl crystal (GGA-PBE).

Geometry as POSCAR:
```
Cs2AuCl
1.0
8.095 0.000 0.000
0.000 8.095 0.000
4.048 4.048 7.875
Cs Au Cl
4 2 2
Cartesian
5.913 2.024 1.969
2.183 6.072 1.969
6.072 6.231 5.907
10.119 9.960 5.907
0.000 0.000 0.000
8.095 4.048 3.938
4.048 4.048 0.000
4.048 8.095 3.938
```

## Properties
Mass density   3.206 Mg/m³
Space group   I-42d, No. 122

Most stable structure, least stable structure: model 1, model 2.

Model 1:
Entry from the Alexandria database: a relaxed Cs2AuCl crystal (GGA-PBE).

Geometry as POSCAR:
```
Cs2AuCl
1.0
-2.785 -1.827 -2.663
-1.410 -2.475 3.173
-5.915 6.013 2.061
Cs Au Cl
2 1 1
Cartesian
-4.366 4.438 1.522
-1.549 1.574 0.540
-2.098 -2.151 0.255
-5.055 0.855 1.286
```

## Properties
Mass density   5.239 Mg/m³
Space group   P4/mmm, No. 123

Model 2:
Entry from the Alexandria database: a relaxed Cs2AuCl crystal (GGA-PBE).

Geometry as POSCAR:
```
Cs2AuCl
1.0
-2.871 -4.274 3.246
-5.259 -2.320 -2.000
-0.219 -5.732 -2.036
Cs Au Cl
2 1 1
Cartesian
-2.087 -3.082 -0.198
-6.262 -9.245 -0.593
-4.175 -6.163 -0.395
0.000 0.000 0.000
```

## Properties
Mass density   5.189 Mg/m³
Space group   Fm-3m, No. 225

Most stable structure, least stable structure: model 1, model 2.